# 1
Compound: Ac8AgRu3I4
Source: the Alexandria database
Functional: GGA-PBE
Structure: optimized geometry

Computed properties:
Raw formation energy, eV/atom: -0.7186

a = 8.8248 Å, b = 10.0578 Å, c = 8.8251 Å
α = 116.06°, β = 120.00°, γ = 90.00°
Sites, in units of the cell vectors:
Ac 0.2394 0.6863 0.9475
Ac 0.7081 0.6863 0.9475
Ac 0.2919 0.3137 0.0525
Ac 0.7606 0.3137 0.0525
Ac 0.2392 0.6866 0.4784
Ac 0.7608 0.3134 0.5216
Ac 0.2708 0.3132 0.5417
Ac 0.7292 0.6868 0.4583
I 0.0000 0.0000 0.0000
I 0.5000 0.0000 0.5000
I 0.0000 0.0000 0.5000
I 0.5000 0.0000 0.0000
Ag 0.0000 0.5000 0.0000
Ru 0.0000 0.5000 0.5000
Ru 0.5000 0.5000 0.0000
Ru 0.5000 0.5000 0.5000

---

# 2
Compound: Ac4AgRuI2
Source: the Alexandria database
Functional: GGA-PBE
Structure: optimized geometry

Computed properties:
Raw formation energy, eV/atom: -0.6978

a = 4.4556 Å, b = 7.8506 Å, c = 9.0423 Å
α = 106.52°, β = 90.00°, γ = 90.00°
Sites, in units of the cell vectors:
Ac 0.5000 0.2575 0.1914
Ac 0.0000 0.2884 0.8133
Ac 0.0000 0.7116 0.1867
Ac 0.5000 0.7425 0.8086
I 0.5000 0.0000 0.5000
I 0.0000 0.5000 0.5000
Ru 0.5000 0.5000 0.0000
Ag 0.0000 0.0000 0.0000

---

# 3
Compound: Ac6Si2AgI3
Source: the Alexandria database
Functional: GGA-PBE
Structure: optimized geometry

Computed properties:
Raw formation energy, eV/atom: -0.7903

a = 4.5688 Å, b = 9.8274 Å, c = 10.7219 Å
α = 105.62°, β = 102.30°, γ = 90.00°
Sites, in units of the cell vectors:
Si 0.1682 0.3350 0.3363
Si 0.8318 0.6650 0.6637
Ac 0.3228 0.4447 0.6455
Ac 0.6611 0.1173 0.3222
Ac 0.9857 0.7693 0.9714
Ac 0.0143 0.2307 0.0286
Ac 0.3389 0.8827 0.6778
Ac 0.6772 0.5553 0.3545
I 0.5000 0.5000 0.0000
I 0.1668 0.8298 0.3336
I 0.8332 0.1702 0.6664
Ag 0.5000 0.0000 0.0000

---

Ordered ρ results: 7.8, 7.5, 7.0; unit g cm⁻³.
Ordered N(E_F) results: 0.4743, 0.5028, 0.7909; unit states/eV per atom.